Entry from the Alexandria database: crystalline CaHfIrRh at its relaxed geometry (GGA-PBE).

```
CaHfIrRh
1.0
6.6263 0.0000 0.0000
0.0000 6.6263 0.0000
0.0000 0.0000 6.6263
Ca Hf Ir Rh
4 4 4 4
direct
0.0000 0.0000 0.0000
0.0000 0.5000 0.5000
0.5000 0.0000 0.5000
0.5000 0.5000 0.0000
0.0000 0.0000 0.5000
0.0000 0.5000 0.0000
0.5000 0.0000 0.0000
0.5000 0.5000 0.5000
0.2500 0.2500 0.2500
0.2500 0.7500 0.7500
0.7500 0.2500 0.7500
0.7500 0.7500 0.2500
0.2500 0.2500 0.7500
0.2500 0.7500 0.2500
0.7500 0.2500 0.2500
0.7500 0.7500 0.7500
```

Results
As for the energy relative to the elements: -0.62 eV per atom. Its space group is F-43m. Its density of states at the Fermi level is 1.86 states/eV/f.u. Its total energy is -7.661 eV per atom.

***

Entry from the Alexandria database: crystalline Na2HgS2 at its relaxed geometry (GGA-PBE).

```
Na2HgS2
1.0
2.0195 -8.4652 0.0000
2.0195 8.4652 0.0000
0.0000 0.0000 6.7923
Na Hg S
4 2 4
direct
0.0291 0.9709 0.5000
0.1871 0.8129 0.2490
0.8129 0.1871 0.7490
0.9709 0.0291 0.0000
0.3750 0.6250 0.3667
0.6250 0.3750 0.8667
0.1817 0.8183 0.6827
0.4382 0.5618 0.6947
0.5618 0.4382 0.1947
0.8183 0.1817 0.1827
```

Results
For the energy above the most stable polymorph in this dataset, the calculation gives 0.029 eV/atom. Its space group is Cmc2_1. Its total energy is -2.975 eV per atom.

***

Entry from the Alexandria database: crystalline LaPm3Th3 at its relaxed geometry (GGA-PBE).

```
LaPm3Th3
1.0
9.6121 0.0000 0.0000
-4.8061 8.3244 0.0000
0.0000 0.0000 5.9720
La Pm Th
2 6 6
direct
0.3333 0.6667 0.2500
0.6667 0.3333 0.7500
0.0438 0.2425 0.2500
0.1987 0.9562 0.2500
0.2425 0.1987 0.7500
0.7575 0.8013 0.2500
0.8013 0.0438 0.7500
0.9562 0.7575 0.7500
0.1017 0.4882 0.7500
0.3865 0.8983 0.7500
0.4882 0.3865 0.2500
0.5118 0.6135 0.7500
0.6135 0.1017 0.2500
0.8983 0.5118 0.2500
```

Results
As for the energy relative to the elements: 0.08 eV per atom. Its space group is P6_3/m. Its density of states at the Fermi level is 12.75 states/eV/f.u. Its total energy is -5.841 eV per atom.

***

Question: What is the total energy in the second record?
Answer: -2.975 eV per atom

***

Repeat the first record exactly.
Entry from the Alexandria database: crystalline CaHfIrRh at its relaxed geometry (GGA-PBE).

```
CaHfIrRh
1.0
6.6263 0.0000 0.0000
0.0000 6.6263 0.0000
0.0000 0.0000 6.6263
Ca Hf Ir Rh
4 4 4 4
direct
0.0000 0.0000 0.0000
0.0000 0.5000 0.5000
0.5000 0.0000 0.5000
0.5000 0.5000 0.0000
0.0000 0.0000 0.5000
0.0000 0.5000 0.0000
0.5000 0.0000 0.0000
0.5000 0.5000 0.5000
0.2500 0.2500 0.2500
0.2500 0.7500 0.7500
0.7500 0.2500 0.7500
0.7500 0.7500 0.2500
0.2500 0.2500 0.7500
0.2500 0.7500 0.2500
0.7500 0.2500 0.2500
0.7500 0.7500 0.7500
```

Results
As for the energy relative to the elements: -0.62 eV per atom. Its space group is F-43m. Its density of states at the Fermi level is 1.86 states/eV/f.u. Its total energy is -7.661 eV per atom.